A plane-wave DFT calculation with PBE with a Hubbard U was carried out for crystalline FeAgBiF6 at its relaxed geometry.

Calculated values
* final energy: -4.586 eV/atom

a = 5.9361 Å, b = 5.9361 Å, c = 9.7767 Å
α = 90.00°, β = 90.00°, γ = 120.00°
Last column: nearest neighbours and their distance in Å.
Space group P-31c (No. 163)
Asymmetric unit:
Fe 0.3333 0.6667 0.2500 x2  6 F 2.11
Ag 0.0000 0.0000 0.0000 x2  6 F 2.53
Bi 0.3333 0.6667 0.7500 x2  6 F 2.29
F 0.0233 0.3743 0.1361 x12  1 Fe 2.11, 1 Bi 2.29